4
Lattice="3.296 -4.316 0.000 3.296 4.316 0.000 -1.382 0.000 2.926" Properties=species:S:1:pos:R:3 comment="PBE-GGA LaFe2Pb, relaxed" magnetic_moment_mub_per_fu=3.9 formation_energy_ev_per_atom=0.554 final_energy_ry_per_atom=-0.4290 rho_g_cm3=9.129 pbc="T T T"
La 0.000 0.000 0.000
Fe 0.957 2.158 1.463
Fe 0.957 -2.158 1.463
Pb 3.296 0.000 0.000